# CrCuO3

Crystalline CrCuO3 at its relaxed geometry (PBE with a Hubbard U, Alexandria via LeMat-Bulk).

## Properties
Its total energy is -5.924 eV per atom. For the density of states at the Fermi level, the calculation gives 3.45 states/eV/f.u. Its total magnetization is 1.00 μB per formula unit. The symmetry is Pm-3m.

Unit cell a=3.7016 b=3.7016 c=3.7016 alpha=90.00 beta=90.00 gamma=90.00
Closest atoms and distances in Å follow each position.
Positions (direct):
Cr (0.0000, 0.0000, 0.0000)  6 O 1.85
Cu (0.5000, 0.5000, 0.5000)  12 O 2.62
O (0.0000, 0.0000, 0.5000)  2 Cr 1.85
O (0.0000, 0.5000, 0.0000)  2 Cr 1.85
O (0.5000, 0.0000, 0.0000)  2 Cr 1.85